# YMn3Bi

A geometry-optimized YMn3Bi structure (PBE, Alexandria via LeMat-Bulk).

CIF file:
```
data_YMn3Bi
_cell_length_a 5.039
_cell_length_b 5.039
_cell_length_c 5.039
_cell_angle_alpha 90.00
_cell_angle_beta 90.00
_cell_angle_gamma 90.00
_space_group_name_H-M_alt 'P m -3 m'
_space_group_IT_number 221
_space_group_name_Hall '-P 4 2 3'
loop_
_atom_site_label
_atom_site_fract_x
_atom_site_fract_y
_atom_site_fract_z
Y1 0.000 0.000 0.000
Mn1 0.000 0.500 0.500
Bi1 0.500 0.500 0.500
```

Summary:
**Magnetization**: 9.483 μB per formula unit
**Theoretical density**: 6.0 g/cm³
**Offset from the most stable computed form**: 0.0000 eV/atom
**Total energy**: -6.63 eV/atom
**DFT formation energy**: 0.943 eV/atom


# YMn2Bi

A geometry-optimized YMn2Bi structure (PBE, Alexandria via LeMat-Bulk).

CIF file:
```
data_YMn2Bi
_cell_length_a 8.014
_cell_length_b 8.014
_cell_length_c 6.069
_cell_angle_alpha 90.00
_cell_angle_beta 90.00
_cell_angle_gamma 90.00
_space_group_name_H-M_alt 'I -4 2 d'
_space_group_IT_number 122
_space_group_name_Hall 'I -4 2bw'
loop_
_atom_site_label
_atom_site_fract_x
_atom_site_fract_y
_atom_site_fract_z
Y1 0.000 0.000 0.000
Mn1 0.223 0.750 0.625
Bi1 0.000 0.000 0.500
```

Summary:
**Magnetization**: 7.509 μB per formula unit
**Theoretical density**: 6.9 g/cm³
**Total energy**: -6.72 eV/atom
**DFT formation energy**: 0.453 eV/atom